# 1
BaAl2CoW PBE-GGA relaxed; space-group type = P4/mmm, No. 123; V = 28.0 A^3/atom; density of states at the Fermi level = 1.457 states/eV per atom; calculated formation energy = 1.31 eV per atom
1.0
-1.066 4.282 -2.325
-1.870 -2.885 -4.457
-4.582 -0.072 1.969
Co Ba W Al
1 1 1 2
direct
0.500 0.500 0.500 Co
0.000 0.500 0.000 Ba
0.000 0.000 0.000 W
0.000 0.000 0.500 Al
0.500 0.000 0.000 Al

# 2
Cr2CoTc PBE-GGA relaxed; space-group type = Cmm2, No. 35; V = 12.3 A^3/atom; density of states at the Fermi level = 1.234 states/eV per atom; calculated formation energy = 0.15 eV per atom
1.0
2.530 0.009 0.000
-0.775 2.408 0.000
0.000 0.000 8.049
Co Cr Tc
1 2 1
direct
0.500 0.500 0.762 Co
0.000 0.000 0.998 Cr
0.500 0.500 0.238 Cr
0.000 0.000 0.501 Tc

# 3
Mg3Np PBE-GGA relaxed; space-group type = Fm-3m, No. 225; V = 24.5 A^3/atom; density of states at the Fermi level = 3.286 states/eV per atom; calculated formation energy = 0.40 eV per atom
1.0
-0.599 -3.820 -3.438
2.822 -0.044 -4.336
3.731 -3.529 -0.622
Mg Np
3 1
direct
0.500 0.500 0.500 Mg
0.250 0.250 0.250 Mg
0.750 0.750 0.750 Mg
0.000 0.000 0.000 Np